# 1
Material: InHgRuPb2
Method: DFT, PBE-GGA
State: relaxed

Properties
* DOS at the Fermi energy: 3.2 states/eV/cell
* crystal system: tetragonal
* VASP energy: -3.81 eV/atom

a b c (Å): 5.274 5.274 5.237
angles (deg): 90.00 90.00 90.00
Space group P4/mmm (No. 123)
Inequivalent atoms, fractional coordinates:
In (0.000, 0.000, 0.000) [1 per cell]
Hg (0.500, 0.500, 0.000) [1 per cell]
Ru (0.000, 0.000, 0.500) [1 per cell]
Pb (0.000, 0.500, 0.500) [2 per cell]

# 2
Material: Pr2CdGe4Pt3
Method: DFT, PBE-GGA
State: relaxed

Properties
* DOS at the Fermi energy: 4.1 states/eV/cell
* crystal system: tetragonal
* VASP energy: -5.52 eV/atom

a b c (Å): 4.371 4.371 10.581
angles (deg): 90.00 90.00 90.00
Space group P-4m2 (No. 115)
Inequivalent atoms, fractional coordinates:
Pr (0.000, 0.500, 0.244) [2 per cell]
Cd (0.000, 0.000, 0.500) [1 per cell]
Ge (0.000, 0.000, 0.000) [1 per cell]
Ge (0.000, 0.500, 0.647) [2 per cell]
Ge (0.500, 0.500, 0.000) [1 per cell]
Pt (0.000, 0.500, 0.881) [2 per cell]
Pt (0.500, 0.500, 0.500) [1 per cell]

# 3
Material: SiRh2W
Method: DFT, PBE-GGA
State: relaxed

Properties
* DOS at the Fermi energy: 4.8 states/eV/cell
* crystal system: orthorhombic
* VASP energy: -8.59 eV/atom
* formation energy (no corrections): -0.32 eV/atom

a b c (Å): 3.173 4.263 8.337
angles (deg): 90.00 90.00 90.00
Space group Immm (No. 71)
Inequivalent atoms, fractional coordinates:
Si (0.000, 0.000, 0.000) [2 per cell]
Rh (0.000, 0.500, 0.278) [4 per cell]
W (0.000, 0.000, 0.500) [2 per cell]

# 4
Material: Ca3Pr2Mg4
Method: DFT, PBE-GGA
State: relaxed

Properties
* DOS at the Fermi energy: 11.0 states/eV/cell
* crystal system: trigonal
* VASP energy: -2.49 eV/atom
* energy above the lowest structure with this stoichiometry: 0.0 meV/atom

a b c (Å): 5.5928 5.5928 10.5979
angles (deg): 90.00 90.00 120.00
Space group P-3m1 (No. 164)
Inequivalent atoms, fractional coordinates:
Ca (0.0000, 0.0000, 0.0000) [1 per cell]
Ca (0.3333, 0.6667, 0.5766) [2 per cell]
Pr (0.3333, 0.6667, 0.2052) [2 per cell]
Mg (0.0000, 0.0000, 0.3367) [2 per cell]
Mg (0.3333, 0.6667, 0.8935) [2 per cell]

# 5
Material: ZrTeAs2
Method: DFT, PBE-GGA
State: relaxed

Properties
* DOS at the Fermi energy: 1.7 states/eV/cell
* crystal system: trigonal
* VASP energy: -5.53 eV/atom
* formation energy (no corrections): -0.29 eV/atom

a b c (Å): 4.2188 4.2188 21.1086
angles (deg): 90.00 90.00 120.00
Space group R3m (No. 160, hexagonal axes)
Inequivalent atoms, fractional coordinates:
Zr (0.0000, 0.0000, 0.0000) [3 per cell]
Te (0.0000, 0.0000, 0.7484) [3 per cell]
As (0.0000, 0.0000, 0.2560) [3 per cell]
As (0.0000, 0.0000, 0.5638) [3 per cell]

# 6
Material: SrMgZr2
Method: DFT, PBE-GGA
State: relaxed

Properties
* DOS at the Fermi energy: 11.4 states/eV/cell
* crystal system: tetragonal
* VASP energy: -4.65 eV/atom

a b c (Å): 4.897 4.897 8.932
angles (deg): 90.00 90.00 90.00
Space group I-4m2 (No. 119)
Inequivalent atoms, fractional coordinates:
Sr (0.000, 0.000, 0.000) [2 per cell]
Mg (0.000, 0.500, 0.250) [2 per cell]
Zr (0.000, 0.000, 0.500) [2 per cell]
Zr (0.000, 0.500, 0.750) [2 per cell]

# 7
Material: Ni3RuCl
Method: DFT, PBE-GGA
State: relaxed

Properties
* DOS at the Fermi energy: 8.2 states/eV/cell
* crystal system: cubic
* VASP energy: -4.37 eV/atom
* formation energy (no corrections): 1.33 eV/atom
* energy above the lowest structure with this stoichiometry: 444.9 meV/atom

a b c (Å): 4.527 4.527 4.527
angles (deg): 90.00 90.00 90.00
Space group Pm-3m (No. 221)
Inequivalent atoms, fractional coordinates:
Ni (0.000, 0.000, 0.500) [3 per cell]
Ru (0.000, 0.000, 0.000) [1 per cell]
Cl (0.500, 0.500, 0.500) [1 per cell]

Question: The lowest VASP energy belongs to which entry?
Answer: SiRh2W

Question: Look up the VASP energy of the fourth one.
Answer: -2.49 eV/atom

Question: Look up the DOS at the Fermi energy of the fourth one.
Answer: 11.0 states/eV/cell